The following is a meta-GGA SCAN calculation of Cs2ICl at its PBEsol-relaxed geometry, from Alexandria via LeMat-Bulk.

Values from the calculation:
Uncorrected formation energy   -1908.4 meV/atom

CIF file:
```
data_Cs2ICl
_chemical_formula_sum 'Cs2 I1 Cl1'
_cell_length_a 6.124
_cell_length_b 6.124
_cell_length_c 6.124
_cell_angle_alpha 60.00
_cell_angle_beta 60.00
_cell_angle_gamma 60.00
_space_group_name_H-M_alt 'P 1'
_space_group_IT_number 1
loop_
_space_group_symop_operation_xyz
'x,y,z'
loop_
_atom_site_label
_atom_site_type_symbol
_atom_site_fract_x
_atom_site_fract_y
_atom_site_fract_z
Cs1 Cs 0.250 0.250 0.250
Cs2 Cs 0.750 0.750 0.750
I1 I 0.000 0.000 0.000
Cl1 Cl 0.500 0.500 0.500
```

---

The following is a meta-GGA SCAN calculation of BeZnTe2 at its PBEsol-relaxed geometry, from Alexandria via LeMat-Bulk.

Values from the calculation:
Offset from the most stable computed form   0.685 eV per atom
Uncorrected formation energy   226.7 meV/atom

CIF file:
```
data_BeZnTe2
_chemical_formula_sum 'Be1 Zn1 Te2'
_cell_length_a 3.991
_cell_length_b 3.991
_cell_length_c 7.441
_cell_angle_alpha 90.00
_cell_angle_beta 90.00
_cell_angle_gamma 124.83
_space_group_name_H-M_alt 'P 1'
_space_group_IT_number 1
loop_
_space_group_symop_operation_xyz
'x,y,z'
loop_
_atom_site_label
_atom_site_type_symbol
_atom_site_fract_x
_atom_site_fract_y
_atom_site_fract_z
Be1 Be 0.000 0.000 0.000
Zn1 Zn 0.000 0.000 0.500
Te1 Te 0.500 0.500 0.227
Te2 Te 0.500 0.500 0.773
```

---

The following is a meta-GGA SCAN calculation of GaCuGeSe4 at its PBEsol-relaxed geometry, from Alexandria via LeMat-Bulk.

Values from the calculation:
Uncorrected formation energy   -427.8 meV/atom

CIF file:
```
data_GaCuGeSe4
_chemical_formula_sum 'Ga1 Cu1 Ge1 Se4'
_cell_length_a 6.595
_cell_length_b 6.595
_cell_length_c 6.595
_cell_angle_alpha 131.36
_cell_angle_beta 131.36
_cell_angle_gamma 71.24
_space_group_name_H-M_alt 'P 1'
_space_group_IT_number 1
loop_
_space_group_symop_operation_xyz
'x,y,z'
loop_
_atom_site_label
_atom_site_type_symbol
_atom_site_fract_x
_atom_site_fract_y
_atom_site_fract_z
Ga1 Ga 0.000 0.000 0.000
Cu1 Cu 0.250 0.750 0.500
Ge1 Ge 0.750 0.250 0.500
Se1 Se 0.154 0.154 0.542
Se2 Se 0.388 0.846 0.999
Se3 Se 0.612 0.612 0.458
Se4 Se 0.846 0.388 0.001
```

---

The following is a meta-GGA SCAN calculation of GaPtS2Cl at its PBEsol-relaxed geometry, from Alexandria via LeMat-Bulk.

Values from the calculation:
Uncorrected formation energy   151.0 meV/atom

CIF file:
```
data_GaPtS2Cl
_chemical_formula_sum 'Ga1 Pt1 S2 Cl1'
_cell_length_a 4.648
_cell_length_b 4.648
_cell_length_c 4.906
_cell_angle_alpha 90.00
_cell_angle_beta 90.00
_cell_angle_gamma 90.00
_space_group_name_H-M_alt 'P 1'
_space_group_IT_number 1
loop_
_space_group_symop_operation_xyz
'x,y,z'
loop_
_atom_site_label
_atom_site_type_symbol
_atom_site_fract_x
_atom_site_fract_y
_atom_site_fract_z
Ga1 Ga 0.000 0.000 0.000
Pt1 Pt 0.500 0.500 0.500
S1 S 0.000 0.500 0.500
S2 S 0.500 0.000 0.500
Cl1 Cl 0.500 0.500 0.000
```

---

- Which value of uncorrected formation energy does entry 3 give?
  -427.8 meV/atom